(1)
# TaReCl2 | Alexandria | PBE | optimized geometry
# - Formation energy without anion corrections: -0.085 eV/atom
# - Magnetic moment: 0.0 μB per formula unit
# - Crystal system: tetragonal
# - VASP energy: -7.083 eV per atom
# - Relative energy among the computed polymorphs: 415 meV per atom
data_TaReCl2
_chemical_formula_sum 'Ta1 Re1 Cl2'
_space_group_name_H-M_alt 'P 4 m m'
_space_group_IT_number 99
_cell_length_a 2.9781
_cell_length_b 2.9781
_cell_length_c 8.8413
_cell_angle_alpha 90.00
_cell_angle_beta 90.00
_cell_angle_gamma 90.00
loop_
_space_group_symop_operation_xyz
'x,y,z'
'-y,x,z'
'-x,-y,z'
'y,-x,z'
'-x,y,z'
'y,x,z'
'x,-y,z'
'-y,-x,z'
loop_
_atom_site_label
_atom_site_fract_x
_atom_site_fract_y
_atom_site_fract_z
Ta1 0.0000 0.0000 0.0000
Re1 0.5000 0.5000 0.7910
Cl1 0.0000 0.0000 0.5992
Cl2 0.5000 0.5000 0.1922

(2)
# Al4GaPb2 | Alexandria | PBE | optimized geometry
# - Magnetic moment: 0.0 μB per formula unit
# - Crystal system: tetragonal
# - VASP energy: -3.173 eV per atom
# - Formation energy: 457 meV per atom
data_Al4GaPb2
_chemical_formula_sum 'Al8 Ga2 Pb4'
_space_group_name_H-M_alt 'I 4/m m m'
_space_group_IT_number 139
_space_group_name_Hall '-I 4 2'
_cell_length_a 4.9730
_cell_length_b 4.9730
_cell_length_c 14.6889
_cell_angle_alpha 90.00
_cell_angle_beta 90.00
_cell_angle_gamma 90.00
loop_
_atom_site_label
_atom_site_fract_x
_atom_site_fract_y
_atom_site_fract_z
Al1 0.0000 0.0000 0.1728
Al2 0.0000 0.5000 0.0000
Ga1 0.0000 0.0000 0.0000
Pb1 0.0000 0.0000 0.3668

(3)
# CdGaIN2 | Alexandria | PBE | optimized geometry
# - Formation energy without anion corrections: 1.190 eV/atom
# - Magnetic moment: 0.8 μB per formula unit
# - Crystal system: tetragonal
# - VASP energy: -3.238 eV per atom
# - Relative energy among the computed polymorphs: 0 meV per atom
data_CdGaIN2
_chemical_formula_sum 'Cd1 Ga1 I1 N2'
_space_group_name_H-M_alt 'P 4/m m m'
_space_group_IT_number 123
_space_group_name_Hall '-P 4 2'
_cell_length_a 3.9779
_cell_length_b 3.9779
_cell_length_c 6.6746
_cell_angle_alpha 90.00
_cell_angle_beta 90.00
_cell_angle_gamma 90.00
loop_
_atom_site_label
_atom_site_fract_x
_atom_site_fract_y
_atom_site_fract_z
Cd1 0.0000 0.0000 0.0000
Ga1 0.5000 0.5000 0.5000
I1 0.5000 0.5000 0.0000
N1 0.0000 0.5000 0.5000

(4)
# ZnAu2Se | Alexandria | PBE | optimized geometry
# - Formation energy without anion corrections: 0.072 eV/atom
# - Magnetic moment: 0.0 μB per formula unit
# - Crystal system: tetragonal
# - VASP energy: -2.756 eV per atom
data_ZnAu2Se
_chemical_formula_sum 'Zn2 Au4 Se2'
_space_group_name_H-M_alt 'I 4/m m m'
_space_group_IT_number 139
_space_group_name_Hall '-I 4 2'
_cell_length_a 4.0372
_cell_length_b 4.0372
_cell_length_c 8.9527
_cell_angle_alpha 90.00
_cell_angle_beta 90.00
_cell_angle_gamma 90.00
loop_
_atom_site_label
_atom_site_fract_x
_atom_site_fract_y
_atom_site_fract_z
Zn1 0.0000 0.0000 0.0000
Au1 0.0000 0.5000 0.2500
Se1 0.0000 0.0000 0.5000

(5)
# SrAl3Cl12 | Alexandria | PBE | optimized geometry
# - Formation energy without anion corrections: -1.566 eV/atom
# - Magnetic moment: 1.3 μB per formula unit
# - Crystal system: trigonal
# - VASP energy: -3.758 eV per atom
data_SrAl3Cl12
_chemical_formula_sum 'Sr6 Al18 Cl72'
_space_group_name_H-M_alt 'R 3 c'
_space_group_IT_number 161
_space_group_name_Hall 'R 3 -2"c'
_cell_length_a 11.1079
_cell_length_b 11.1079
_cell_length_c 33.0584
_cell_angle_alpha 90.00
_cell_angle_beta 90.00
_cell_angle_gamma 120.00
loop_
_atom_site_label
_atom_site_fract_x
_atom_site_fract_y
_atom_site_fract_z
Sr1 0.0000 0.0000 0.0000
Al1 0.0077 0.3877 0.2784
Cl1 0.0459 0.5061 0.9535
Cl2 0.0919 0.5410 0.2304
Cl3 0.0967 0.2222 0.9322
Cl4 0.1599 0.3374 0.6663

(6)
# PmEuPtAu | Alexandria | PBE | optimized geometry
# - Magnetic moment: 7.1 μB per formula unit
# - Crystal system: cubic
# - VASP energy: -6.967 eV per atom
# - Formation energy: -881 meV per atom
data_PmEuPtAu
_chemical_formula_sum 'Pm4 Eu4 Pt4 Au4'
_space_group_name_H-M_alt 'F -4 3 m'
_space_group_IT_number 216
_space_group_name_Hall 'F -4 2 3'
_cell_length_a 7.2815
_cell_length_b 7.2815
_cell_length_c 7.2815
_cell_angle_alpha 90.00
_cell_angle_beta 90.00
_cell_angle_gamma 90.00
loop_
_atom_site_label
_atom_site_fract_x
_atom_site_fract_y
_atom_site_fract_z
Pm1 0.0000 0.0000 0.0000
Eu1 0.0000 0.0000 0.5000
Pt1 0.2500 0.2500 0.2500
Au1 0.2500 0.2500 0.7500